! Gd3BiRu (PBE, relaxed); values from VASP
&SYSTEM
  ibrav = 0, nat = 5, ntyp = 3
/
ATOMIC_SPECIES
Gd 157.25 Gd.upf
Bi 208.98 Bi.upf
Ru 101.07 Ru.upf
CELL_PARAMETERS angstrom
5.340 0.000 0.000
0.000 5.340 0.000
0.000 0.000 5.340
ATOMIC_POSITIONS angstrom
Gd 0.000 0.000 2.670
Gd 0.000 2.670 0.000
Gd 2.670 0.000 0.000
Bi 2.670 2.670 2.670
Ru 0.000 0.000 0.000
! DFT formation energy in kJ/mol of formula units: -189.9
! D(E_F) in states/eV/cell: 4.4
! Crystal system: cubic
! Electronic total energy in eV/atom: -11.47
! Symmetry: No. 221

=====

! SrAl3Fe (PBE, relaxed); values from VASP
&SYSTEM
  ibrav = 0, nat = 5, ntyp = 3
/
ATOMIC_SPECIES
Sr 87.62 Sr.upf
Al 26.98 Al.upf
Fe 55.84 Fe.upf
CELL_PARAMETERS angstrom
4.631 0.000 0.000
0.000 4.631 0.000
0.000 0.000 4.631
ATOMIC_POSITIONS angstrom
Sr 0.000 0.000 0.000
Al 0.000 2.316 2.316
Al 2.316 0.000 2.316
Al 2.316 2.316 0.000
Fe 2.316 2.316 2.316
! DFT formation energy in kJ/mol of formula units: -124.9
! D(E_F) in states/eV/cell: 2.2
! Crystal system: cubic
! Electronic total energy in eV/atom: -4.53
! Symmetry: No. 221

=====

! MoP2WCl (PBE, relaxed); values from VASP
&SYSTEM
  ibrav = 0, nat = 5, ntyp = 4
/
ATOMIC_SPECIES
Mo 95.94 Mo.upf
P 30.97 P.upf
W 183.84 W.upf
Cl 35.45 Cl.upf
CELL_PARAMETERS angstrom
4.745 0.000 0.000
0.000 4.745 0.000
0.000 0.000 4.646
ATOMIC_POSITIONS angstrom
Mo 0.000 0.000 0.000
P 0.000 2.373 0.000
P 2.373 0.000 0.000
W 2.373 2.373 2.323
Cl 0.000 0.000 2.323
! D(E_F) in states/eV/cell: 3.9
! Crystal system: tetragonal
! Electronic total energy in eV/atom: -6.04
! Symmetry: No. 123
! Excess energy over the best structure of this formula in the dataset in kJ/mol of formula units: 135

=====

! CeEr5Tm (PBE, relaxed); values from VASP
&SYSTEM
  ibrav = 0, nat = 14, ntyp = 3
/
ATOMIC_SPECIES
Ce 140.12 Ce.upf
Er 167.26 Er.upf
Tm 168.93 Tm.upf
CELL_PARAMETERS angstrom
4.350 -4.747 0.000
4.350 4.747 0.000
-4.058 0.000 10.600
ATOMIC_POSITIONS angstrom
Ce 2.175 2.373 0.000
Ce 0.146 -2.373 5.300
Er -0.693 0.954 5.672
Er 3.335 3.905 2.650
Er 1.336 -0.954 0.373
Er 1.913 0.679 3.547
Er -0.116 -0.679 8.847
Er 4.758 0.679 1.753
Er 2.729 -0.679 7.053
Er 3.306 0.954 10.227
Er 1.306 -3.905 7.950
Er 5.335 -0.954 4.927
Tm 1.306 2.301 7.950
Tm 3.335 -2.301 2.650
! DFT formation energy in kJ/mol of formula units: 90.9
! D(E_F) in states/eV/cell: 28.6
! Crystal system: monoclinic
! Electronic total energy in eV/atom: -4.61
! Symmetry: No. 15